Entry 1:
Material: Sm2Ga3Cu2
Method: DFT, PBE
State: relaxed

Values from the calculation:
- ρ (kg/m³) = 7821
- DOS at the Fermi energy (states/eV/cell) = 8.7
- distance to the lowest polymorph of the same formula (meV/atom) = 29
- magnetic moment (μB per formula unit) = 0.0
- DFT formation energy (eV per atom) = -0.448

abc: 10.3689 4.3119 6.5742
angles: 90.00 113.05 90.00
Closest atoms and distances in Å follow each position.
Space group C2/m (No. 12)
Symmetry-distinct sites (fractional):
Sm: 0.1529 0.0000 0.2760 (multiplicity 4)  4 Cu 3.02-3.18, 8 Ga 3.02-3.34
Ga: 0.0000 0.5000 0.5000 (multiplicity 2)  2 Ga 2.61, 4 Cu 2.78
Ga: 0.1030 0.5000 0.9308 (multiplicity 4)  3 Cu 2.56-2.62, 2 Ga 2.61-2.63
Cu: 0.1455 0.0000 0.7551 (multiplicity 4)  5 Ga 2.56-2.78


Entry 2:
Material: CuSbOs2
Method: DFT, PBE
State: relaxed

Values from the calculation:
- raw total energy (eV/atom) = -6.848
- ρ (kg/m³) = 13992
- DOS at the Fermi energy (states/eV/cell) = 8.9
- magnetic moment (μB per formula unit) = 0.1

abc: 2.8627 4.9912 9.3988
angles: 90.00 90.00 90.00
Closest atoms and distances in Å follow each position.
Space group Cmm2 (No. 35)
Symmetry-distinct sites (fractional):
Cu: 0.0000 0.0000 0.0000 (multiplicity 2)  2 Os 2.62, 6 Cu 2.86-2.88, 2 Sb 2.90
Sb: 0.0000 0.5000 0.7321 (multiplicity 2)  6 Sb 2.86-2.88, 2 Cu 2.90, 2 Os 2.93
Os: 0.0000 0.0000 0.4598 (multiplicity 2)  4 Os 2.57-2.86
Os: 0.0000 0.5000 0.2333 (multiplicity 2)  4 Os 2.57-2.86, 2 Cu 2.62


Entry 3:
Material: TlPCl2F
Method: DFT, PBE
State: relaxed

Values from the calculation:
- ρ (kg/m³) = 4501
- DOS at the Fermi energy (states/eV/cell) = 1.3
- distance to the lowest polymorph of the same formula (meV/atom) = 0
- magnetic moment (μB per formula unit) = 0.0

abc: 5.7279 5.7279 3.6574
angles: 90.00 90.00 90.00
Closest atoms and distances in Å follow each position.
Space group P4/mmm (No. 123)
Symmetry-distinct sites (fractional):
Tl: 0.0000 0.0000 0.0000 (multiplicity 1)  8 Cl 3.40, 2 Tl 3.66
P: 0.5000 0.5000 0.0000 (multiplicity 1)  2 F 1.83
Cl: 0.0000 0.5000 0.5000 (multiplicity 2)  2 F 2.86
F: 0.5000 0.5000 0.5000 (multiplicity 1)  2 P 1.83